The following is a DFT calculation (PBE-GGA) of a relaxed MgCrTcIr crystal.

The structure in extended XYZ format:
```
4
Lattice="0.000 3.036 3.036 3.036 0.000 3.036 3.036 3.036 0.000" Properties=species:S:1:pos:R:3 pbc="T T T"
Mg 0.000 0.000 0.000
Cr 3.036 3.036 3.036
Tc 4.554 4.554 4.554
Ir 1.518 1.518 1.518
```

**Calculated formation energy**: 5 meV/atom